# PBE-GGA TcAsOs2, relaxed
# D(E_F) = 2.84 states/eV/f.u.
# ΔH_f (0 K) = 0.9 eV per formula unit
# Uncorrected energy = -73.092 eV per cell
# Spin magnetization = 0.0 μB per formula unit
# V = 116.0 Å³/cell
data_TcAsOs2
_space_group_name_H-M_alt 'I m m m'
_space_group_IT_number 71
_space_group_name_Hall '-I 2 2'
_cell_length_a 2.9168
_cell_length_b 4.4081
_cell_length_c 9.0203
_cell_angle_alpha 90.00
_cell_angle_beta 90.00
_cell_angle_gamma 90.00
loop_
_atom_site_label
_atom_site_type_symbol
_atom_site_fract_x
_atom_site_fract_y
_atom_site_fract_z
Tc1 Tc 0.0000 0.0000 0.0000
As1 As 0.0000 0.0000 0.5000
Os1 Os 0.0000 0.5000 0.2219


# PBE-GGA TcAsOs2, relaxed
# D(E_F) = 2.43 states/eV/f.u.
# ΔH_f (0 K) = 1.4 eV per formula unit
# Uncorrected energy = -36.065 eV per cell
# Spin magnetization = 0.0 μB per formula unit
# V = 60.0 Å³/cell
data_TcAsOs2
_space_group_name_H-M_alt 'P m m 2'
_space_group_IT_number 25
_space_group_name_Hall 'P 2 -2'
_cell_length_a 2.8547
_cell_length_b 3.9052
_cell_length_c 5.3787
_cell_angle_alpha 90.00
_cell_angle_beta 90.00
_cell_angle_gamma 90.00
loop_
_atom_site_label
_atom_site_type_symbol
_atom_site_fract_x
_atom_site_fract_y
_atom_site_fract_z
Tc1 Tc 0.0000 0.0000 0.0000
As1 As 0.5000 0.5000 0.1751
Os1 Os 0.0000 0.0000 0.4898
Os2 Os 0.5000 0.5000 0.6676


# PBE-GGA TcAs4Os, relaxed
# D(E_F) = 5.50 states/eV/f.u.
# ΔH_f (0 K) = 1.1 eV per formula unit
# Uncorrected energy = -78.088 eV per cell
# Spin magnetization = 0.0 μB per formula unit
# Energy above the lowest structure with this stoichiometry = 0.0 meV per atom
# V = 222.6 Å³/cell
data_TcAs4Os
_space_group_name_H-M_alt 'P 1 21/c 1'
_space_group_IT_number 14
_space_group_name_Hall '-P 2ybc'
_cell_length_a 6.0606
_cell_length_b 6.0738
_cell_length_c 6.0488
_cell_angle_alpha 90.00
_cell_angle_beta 91.20
_cell_angle_gamma 90.00
loop_
_atom_site_label
_atom_site_type_symbol
_atom_site_fract_x
_atom_site_fract_y
_atom_site_fract_z
Tc1 Tc 0.0000 0.0000 0.0000
As1 As 0.1287 0.1286 0.3772
As2 As 0.3777 0.6247 0.3722
Os1 Os 0.5000 0.0000 0.5000


# PBE-GGA TcAsOs2, relaxed
# D(E_F) = 2.96 states/eV/f.u.
# ΔH_f (0 K) = 2.0 eV per formula unit
# Uncorrected energy = -142.061 eV per cell
# Spin magnetization = 0.0 μB per formula unit
# V = 236.8 Å³/cell
data_TcAsOs2
_space_group_name_H-M_alt 'F -4 3 m'
_space_group_IT_number 216
_space_group_name_Hall 'F -4 2 3'
_cell_length_a 6.1869
_cell_length_b 6.1869
_cell_length_c 6.1869
_cell_angle_alpha 90.00
_cell_angle_beta 90.00
_cell_angle_gamma 90.00
loop_
_atom_site_label
_atom_site_type_symbol
_atom_site_fract_x
_atom_site_fract_y
_atom_site_fract_z
Tc1 Tc 0.0000 0.0000 0.0000
As1 As 0.2500 0.2500 0.2500
Os1 Os 0.0000 0.0000 0.5000
Os2 Os 0.2500 0.2500 0.7500